one:
## ZnGa6Ag (GGA-PBE)

Data for a relaxed structure of ZnGa6Ag. Values from VASP.

- Space-group type: C2/m
- Spin magnetization: 0.00 μB per cell

Cell and atoms, written as Quantum ESPRESSO input:
```
&SYSTEM
  ibrav = 0, nat = 8, ntyp = 3
/
ATOMIC_SPECIES
Zn 65.41 Zn.upf
Ga 69.72 Ga.upf
Ag 107.87 Ag.upf
CELL_PARAMETERS angstrom
5.5849 -2.2711 0.0000
5.5849 2.2711 0.0000
-3.2309 0.0000 5.9818
ATOMIC_POSITIONS crystal
Zn 0.0000 0.0000 0.0000
Ga 0.1222 0.1222 0.7240
Ga 0.2210 0.2210 0.3737
Ga 0.3804 0.3804 0.0212
Ga 0.6196 0.6196 0.9788
Ga 0.7790 0.7790 0.6263
Ga 0.8778 0.8778 0.2760
Ag 0.5000 0.5000 0.5000
```



two:
## ZnGa6Ag (GGA-PBE)

Data for a relaxed structure of ZnGa6Ag. Values from VASP.

- Space-group type: C2/m
- Spin magnetization: 0.00 μB per cell

Cell and atoms, written as Quantum ESPRESSO input:
```
&SYSTEM
  ibrav = 0, nat = 8, ntyp = 3
/
ATOMIC_SPECIES
Zn 65.41 Zn.upf
Ga 69.72 Ga.upf
Ag 107.87 Ag.upf
CELL_PARAMETERS angstrom
3.3932 -4.1250 0.0000
3.3932 4.1250 0.0000
-1.9759 0.0000 5.3445
ATOMIC_POSITIONS crystal
Zn 0.0000 0.0000 0.0000
Ga 0.0354 0.4973 0.2542
Ga 0.4552 0.4552 0.7354
Ga 0.4973 0.0354 0.2542
Ga 0.5027 0.9646 0.7458
Ga 0.5448 0.5448 0.2646
Ga 0.9646 0.5027 0.7458
Ag 0.0000 0.0000 0.5000
```



So which one wins? Going from most stable to least: one, two.



one:
## Zn4Ga3Ag2 (GGA-PBE)

Data for a relaxed structure of Zn4Ga3Ag2. Values from VASP.

- Space-group type: C2/c
- Spin magnetization: 0.00 μB per cell

Cell and atoms, written as Quantum ESPRESSO input:
```
&SYSTEM
  ibrav = 0, nat = 18, ntyp = 3
/
ATOMIC_SPECIES
Zn 65.41 Zn.upf
Ga 69.72 Ga.upf
Ag 107.87 Ag.upf
CELL_PARAMETERS angstrom
6.1014 -4.7451 0.0000
6.1014 4.7451 0.0000
-0.3407 0.0000 5.3233
ATOMIC_POSITIONS crystal
Zn 0.1666 0.5027 0.8982
Zn 0.1752 0.7144 0.5108
Zn 0.2856 0.8248 0.9892
Zn 0.4973 0.8334 0.6018
Zn 0.5027 0.1666 0.3982
Zn 0.7144 0.1752 0.0108
Zn 0.8248 0.2856 0.4892
Zn 0.8334 0.4973 0.1018
Ga 0.0448 0.1713 0.9739
Ga 0.1713 0.0448 0.4739
Ga 0.4807 0.5193 0.2500
Ga 0.5193 0.4807 0.7500
Ga 0.8287 0.9552 0.5261
Ga 0.9552 0.8287 0.0261
Ag 0.1610 0.3835 0.3770
Ag 0.3835 0.1610 0.8770
Ag 0.6165 0.8390 0.1230
Ag 0.8390 0.6165 0.6230
```



two:
## Zn4Ga3Ag2 (GGA-PBE)

Data for a relaxed structure of Zn4Ga3Ag2. Values from VASP.

- Space-group type: C2/c
- Spin magnetization: 0.00 μB per cell

Cell and atoms, written as Quantum ESPRESSO input:
```
&SYSTEM
  ibrav = 0, nat = 18, ntyp = 3
/
ATOMIC_SPECIES
Zn 65.41 Zn.upf
Ga 69.72 Ga.upf
Ag 107.87 Ag.upf
CELL_PARAMETERS angstrom
6.9007 -2.6444 0.0000
6.9007 2.6444 0.0000
-6.0386 0.0000 8.6537
ATOMIC_POSITIONS crystal
Zn 0.1803 0.7094 0.9152
Zn 0.1918 0.3788 0.1857
Zn 0.2906 0.8197 0.5848
Zn 0.3788 0.1918 0.6857
Zn 0.6212 0.8082 0.3143
Zn 0.7094 0.1803 0.4152
Zn 0.8082 0.6212 0.8143
Zn 0.8197 0.2906 0.0848
Ga 0.0613 0.1316 0.8871
Ga 0.1316 0.0613 0.3871
Ga 0.4988 0.5012 0.2500
Ga 0.5012 0.4988 0.7500
Ga 0.8684 0.9387 0.6129
Ga 0.9387 0.8684 0.1129
Ag 0.2335 0.3844 0.4506
Ag 0.3844 0.2335 0.9506
Ag 0.6156 0.7665 0.0494
Ag 0.7665 0.6156 0.5494
```



So which one wins? Going from most stable to least: one, two.